NbV2FeO6: optimized geometry, PBE with a Hubbard U.

extended XYZ file:
```
10
Lattice="5.2462 0.0000 0.0000 -2.5632 4.5972 0.0000 -2.4752 -1.5507 4.7844" Properties=species:S:1:pos:R:3 pbc="T T T"
Nb 0.0000 0.0000 0.0000
V 0.0803 3.0719 1.8949
V 0.1293 0.0276 4.2806
Fe -2.5171 1.5449 2.4826
O -1.8138 3.0288 0.8600
O -3.5303 3.0980 3.3274
O 1.0132 1.4525 0.8329
O -0.6068 1.6389 3.3929
O 1.8762 -0.1942 3.3696
O 3.4769 0.2041 0.8792
```

- crystal system = triclinic
- final energy (eV per atom) = -8.0747
- symmetry = P1, No. 1